An optimized crystal structure of Y2Pd3Pb, computed with PBE.

Computed properties:
Formation energy from the elements   -0.64 eV per atom

```
Y2Pd3Pb
1.0
-5.5822 1.3441 -0.9561
0.9273 -5.5146 -1.6160
0.4431 -0.4225 8.7625
Pb Pd Y
2 6 4
direct
0.6670 0.6670 0.3339
0.3330 0.3330 0.6661
0.6648 0.1680 0.8328
0.1645 0.1645 0.3291
0.3352 0.8320 0.1672
0.8355 0.8355 0.6709
0.8320 0.3352 0.1672
0.1680 0.6648 0.8328
0.7583 0.7583 0.0000
0.2417 0.2417 0.0000
0.7500 0.2500 0.5000
0.2500 0.7500 0.5000
```